Entry 1:
Computed, not measured: LaTaCo2 after structural relaxation at the PBE-GGA level of DFT.

Output
DOS at the Fermi energy in states/eV per atom: 0.838
Calculated formation energy in eV per atom: 0.43
Energy above the lowest structure with this stoichiometry in eV/atom: 0.506
M_tot in μB per cell: 0.0
Space group: No. 119
Calculated total energy in eV/atom: -7.32

Structure (extended XYZ):
```
4
Lattice="-1.883 1.883 4.843 1.883 -1.883 4.843 1.883 1.883 -4.843" Properties=species:S:1:pos:R:3 pbc="T T T"
La 0.000 0.000 0.000
Ta 1.883 0.000 2.422
Co 0.000 0.000 4.843
Co 0.000 1.883 2.422
```

***

Entry 2:
Computed, not measured: CoAuSe2 after structural relaxation at the PBE-GGA level of DFT.

Output
DOS at the Fermi energy in states/eV per atom: 1.046
M_tot in μB per cell: 2.1
Space group: No. 123
Calculated total energy in eV/atom: -4.15
Formation energy without anion corrections in meV per atom: 184

Structure (extended XYZ):
```
4
Lattice="3.755 0.000 0.000 0.000 3.755 0.000 0.000 0.000 5.340" Properties=species:S:1:pos:R:3 pbc="T T T"
Co 0.000 0.000 0.000
Au 1.878 1.878 2.670
Se 0.000 0.000 2.670
Se 1.878 1.878 0.000
```

***

Entry 3:
Computed, not measured: InAgOs after structural relaxation at the PBE-GGA level of DFT.

Output
DOS at the Fermi energy in states/eV per atom: 1.383
Calculated formation energy in eV per atom: 0.92
Energy above the lowest structure with this stoichiometry in eV/atom: 0.320
M_tot in μB per cell: 1.0
Space group: No. 216
Calculated total energy in eV/atom: -4.69

Structure (extended XYZ):
```
3
Lattice="0.000 3.168 3.168 3.168 0.000 3.168 3.168 3.168 0.000" Properties=species:S:1:pos:R:3 pbc="T T T"
In 0.000 0.000 0.000
Ag 3.168 3.168 3.168
Os 1.584 1.584 1.584
```

***

Entry 4:
Computed, not measured: MnFe22C6 after structural relaxation at the PBE-GGA level of DFT.

Output
DOS at the Fermi energy in states/eV per atom: 0.932
Calculated formation energy in eV per atom: 0.06
M_tot in μB per cell: 46.9
Space group: No. 225
Calculated total energy in eV/atom: -8.58

Structure (extended XYZ):
```
29
Lattice="0.000 5.238 5.238 5.238 0.000 5.238 5.238 5.238 0.000" Properties=species:S:1:pos:R:3 pbc="T T T"
Mn 0.000 0.000 0.000
Fe 1.784 1.784 0.000
Fe 3.454 3.454 0.000
Fe 1.784 0.000 1.784
Fe 5.238 3.454 1.784
Fe 3.454 0.000 3.454
Fe 5.238 1.784 3.454
Fe 6.457 4.019 4.019
Fe 2.619 2.619 2.619
Fe 0.000 1.784 1.784
Fe 3.454 5.238 1.784
Fe 3.454 1.784 5.238
Fe 4.019 4.019 4.019
Fe 6.457 6.457 4.019
Fe 6.457 4.019 6.457
Fe 4.019 6.457 4.019
Fe 4.019 4.019 6.457
Fe 6.457 6.457 6.457
Fe 0.000 3.454 3.454
Fe 1.784 5.238 3.454
Fe 1.784 3.454 5.238
Fe 7.857 7.857 7.857
Fe 4.019 6.457 6.457
C 5.238 5.238 2.892
C 5.238 2.892 5.238
C 7.584 5.238 5.238
C 2.892 5.238 5.238
C 5.238 7.584 5.238
C 5.238 5.238 7.584
```

***

Entry 5:
Computed, not measured: CsHg3Pd after structural relaxation at the PBE-GGA level of DFT.

Output
DOS at the Fermi energy in states/eV per atom: 0.271
Calculated formation energy in eV per atom: -0.15
Energy above the lowest structure with this stoichiometry in eV/atom: 0.127
M_tot in μB per cell: 0.0
Space group: No. 12
Calculated total energy in eV/atom: -1.54

Structure (extended XYZ):
```
10
Lattice="8.444 -2.604 0.000 8.444 2.604 0.000 -2.720 0.000 7.602" Properties=species:S:1:pos:R:3 pbc="T T T"
Cs -0.009 0.000 2.048
Cs 14.177 0.000 5.554
Hg 3.197 0.000 0.031
Hg 3.081 0.000 4.724
Hg 5.474 0.000 2.592
Hg 8.694 0.000 5.010
Hg 11.088 0.000 2.879
Hg 10.971 0.000 7.571
Pd 3.314 0.000 7.479
Pd 10.854 0.000 0.124
```

***

Entry 6:
Computed, not measured: HfZrV after structural relaxation at the PBE-GGA level of DFT.

Output
DOS at the Fermi energy in states/eV per atom: 1.646
Calculated formation energy in eV per atom: 0.15
Energy above the lowest structure with this stoichiometry in eV/atom: 0.000
M_tot in μB per cell: 0.9
Space group: No. 107
Calculated total energy in eV/atom: -9.06

Structure (extended XYZ):
```
3
Lattice="-1.663 1.663 5.308 1.663 -1.663 5.308 1.663 1.663 -5.308" Properties=species:S:1:pos:R:3 pbc="T T T"
Hf 0.000 0.000 0.000
Zr 0.000 0.000 7.410
V 0.000 0.000 3.720
```